No. 1
DFT (PBE) results for a geometry-optimized UPd structure.

abc: 2.9494 2.9494 5.0553
angles: 90.00 90.00 120.00
Last column: nearest neighbours and their distance in Å.
Fractional positions:
U  0.0000  0.0000  0.0000  6 U 2.95, 6 Pd 3.05
Pd  0.3333  0.6667  0.5000  6 Pd 2.95, 6 U 3.05

## Properties
E_form: -4 kJ per mole of atoms
electronic total energy: -8.28 eV per atom
magnetic moment: 2.10 μB/f.u.

***

No. 2
DFT (PBE) results for a geometry-optimized UPd structure.

abc: 4.4561 4.4561 4.4561
angles: 60.00 60.00 60.00
Last column: nearest neighbours and their distance in Å.
Fractional positions:
U  0.0000  0.0000  0.0000  4 Pd 2.73
Pd  0.2500  0.2500  0.2500  4 U 2.73

## Properties
E_form: 85 kJ per mole of atoms
electronic total energy: -7.36 eV per atom
magnetic moment: 3.44 μB/f.u.

***

No. 3
DFT (PBE) results for a geometry-optimized PdW structure.

abc: 3.6855 3.6855 3.6855
angles: 60.00 60.00 60.00
Last column: nearest neighbours and their distance in Å.
Fractional positions:
Pd  0.0000  0.0000  0.0000  6 W 2.61
W  0.5000  0.5000  0.5000  6 Pd 2.61

## Properties
E_form: 123 kJ per mole of atoms
electronic total energy: -7.79 eV per atom
magnetic moment: 0.01 μB/f.u.

***

No. 4
DFT (PBE) results for a geometry-optimized PdW structure.

abc: 4.0134 4.0134 4.0134
angles: 60.00 60.00 60.00
Last column: nearest neighbours and their distance in Å.
Fractional positions:
Pd  0.0000  0.0000  0.0000  4 W 2.46
W  0.7500  0.7500  0.7500  4 Pd 2.46

## Properties
E_form: 173 kJ per mole of atoms
electronic total energy: -7.28 eV per atom
magnetic moment: 0.81 μB/f.u.

***

No. 5
DFT (PBE) results for a geometry-optimized Pd12W structure.

abc: 6.4566 6.4566 6.4566
angles: 109.47 109.47 109.47
Last column: nearest neighbours and their distance in Å.
Fractional positions:
Pd  0.1232  0.8165  0.3067  1 W 2.66, 10 Pd 2.74-2.88
Pd  0.1835  0.3067  0.4902  1 W 2.66, 10 Pd 2.74-2.88
Pd  0.1835  0.6933  0.8768  1 W 2.66, 10 Pd 2.74-2.88
Pd  0.3067  0.1232  0.8165  1 W 2.66, 10 Pd 2.74-2.88
Pd  0.3067  0.4902  0.1835  1 W 2.66, 10 Pd 2.74-2.88
Pd  0.4902  0.1835  0.3067  1 W 2.66, 10 Pd 2.74-2.88
Pd  0.5098  0.8165  0.6933  1 W 2.66, 10 Pd 2.74-2.88
Pd  0.6933  0.5098  0.8165  1 W 2.66, 10 Pd 2.74-2.88
Pd  0.6933  0.8768  0.1835  1 W 2.66, 10 Pd 2.74-2.88
Pd  0.8165  0.3067  0.1232  1 W 2.66, 10 Pd 2.74-2.88
Pd  0.8165  0.6933  0.5098  1 W 2.66, 10 Pd 2.74-2.88
Pd  0.8768  0.1835  0.6933  1 W 2.66, 10 Pd 2.74-2.88
W  0.0000  0.0000  0.0000  12 Pd 2.66

## Properties
E_form: -2 kJ per mole of atoms
electronic total energy: -5.80 eV per atom
magnetic moment: 0.00 μB/f.u.

***

No. 6
DFT (PBE) results for a geometry-optimized PdW2 structure.

abc: 5.2287 5.2287 5.2287
angles: 60.00 60.00 60.00
Last column: nearest neighbours and their distance in Å.
Fractional positions:
Pd  0.1250  0.1250  0.1250  12 W 3.07, 4 Pd 3.20
Pd  0.8750  0.8750  0.8750  12 W 3.07, 4 Pd 3.20
W  0.0000  0.5000  0.5000  6 W 2.61
W  0.5000  0.0000  0.5000  6 W 2.61
W  0.5000  0.5000  0.0000  6 W 2.61
W  0.5000  0.5000  0.5000  6 W 2.61

## Properties
E_form: 43 kJ per mole of atoms
electronic total energy: -9.92 eV per atom
magnetic moment: 0.00 μB/f.u.

***

No. 7
DFT (PBE) results for a geometry-optimized PdW2 structure.

abc: 5.1349 5.1349 5.1349
angles: 61.98 61.98 61.98
Last column: nearest neighbours and their distance in Å.
Fractional positions:
Pd  0.0000  0.0000  0.0000  4 Pd 2.98-3.26, 12 W 3.03-3.11
Pd  0.2402  0.2402  0.2402  4 Pd 2.98-3.26, 12 W 3.04-3.10
W  0.1185  0.6196  0.6196  6 W 2.57-2.65
W  0.6189  0.6189  0.6189  6 W 2.57
W  0.6196  0.1185  0.6196  6 W 2.57-2.65
W  0.6196  0.6196  0.1185  6 W 2.57-2.65

## Properties
E_form: 45 kJ per mole of atoms
electronic total energy: -9.90 eV per atom
magnetic moment: 0.00 μB/f.u.

***

No. 8
DFT (PBE) results for a geometry-optimized PdW structure.

abc: 2.7976 2.7976 4.5599
angles: 90.00 90.00 120.00
Last column: nearest neighbours and their distance in Å.
Fractional positions:
Pd  0.0000  0.0000  0.0000  6 W 2.79, 6 Pd 2.80
W  0.6667  0.3333  0.5000  6 Pd 2.79, 6 W 2.80

## Properties
E_form: 9 kJ per mole of atoms
electronic total energy: -8.98 eV per atom
magnetic moment: 0.00 μB/f.u.